Entry 1:
A relaxed Sc2SnHRh crystal. Source: Alexandria, functional PBE.

Lattice parameters (Å, degrees): 4.5618 4.5618 3.8353 90.00 90.00 90.00
Space group P4/mmm (No. 123)
Asymmetric unit:
Sc 0.0000 0.5000 0.0000
Sn 0.0000 0.0000 0.5000
H 0.5000 0.5000 0.0000
Rh 0.5000 0.5000 0.5000

Magnetization: 0.00 μB/f.u.
VASP energy: -6.16 eV per atom

=====

Entry 2:
A relaxed NaCa2In crystal. Source: Alexandria, functional PBE.

Lattice parameters (Å, degrees): 3.8906 3.8906 8.8875 90.00 90.00 90.00
Space group P4/mmm (No. 123)
Asymmetric unit:
Na 0.0000 0.0000 0.0000
Ca 0.5000 0.5000 0.2899
In 0.0000 0.0000 0.5000

Formation energy from the elements: -0.225 eV/atom
Magnetization: 0.00 μB/f.u.
VASP energy: -2.24 eV per atom

=====

Entry 3:
A relaxed Sr2AgPdAu6 crystal. Source: Alexandria, functional PBE.

Lattice parameters (Å, degrees): 10.2903 10.2903 10.2903 90.00 90.00 90.00
Space group Fm-3m (No. 225)
Asymmetric unit:
Sr 0.2500 0.2500 0.2500
Ag 0.0000 0.0000 0.0000
Pd 0.0000 0.0000 0.5000
Au 0.0000 0.0000 0.2517

Formation energy from the elements: -0.159 eV/atom
Magnetization: 0.00 μB/f.u.
VASP energy: -3.27 eV per atom

=====

Entry 4:
A relaxed BC2 crystal. Source: Alexandria, functional PBE.

Lattice parameters (Å, degrees): 8.0827 2.6568 4.0675 90.00 119.10 90.00
Space group C2/m (No. 12)
Asymmetric unit:
B 0.1002 0.0000 0.2764
C 0.0904 0.5000 0.4764
C 0.2427 0.0000 0.0949

Formation energy from the elements: 0.398 eV/atom
Energy relative to the lowest polymorph listed for this composition: 0.158 eV/atom
Magnetization: 0.00 μB/f.u.
VASP energy: -7.98 eV per atom

=====

Entry 5:
A relaxed Cs3CaCu2Br6 crystal. Source: Alexandria, functional PBE.

Lattice parameters (Å, degrees): 8.1192 8.1192 9.3943 90.00 90.00 120.00
Space group P-3m1 (No. 164)
Asymmetric unit:
Cs 0.0000 0.0000 0.0000
Cs 0.3333 0.6667 0.6702
Ca 0.0000 0.0000 0.5000
Cu 0.3333 0.6667 0.2644
Br 0.1637 0.3274 0.3073

Energy relative to the elements, uncorrected: -14.17 eV per formula unit
Magnetization: 0.00 μB/f.u.
VASP energy: -3.08 eV per atom

=====

Entry 6:
A relaxed Ce4CdPb3 crystal. Source: Alexandria, functional PBE.

Lattice parameters (Å, degrees): 22.4126 4.3909 4.8214 90.00 100.71 90.00
Space group C2/m (No. 12)
Asymmetric unit:
Ce 0.1072 0.0000 0.0959
Ce 0.2443 0.5000 0.1777
Cd 0.0000 0.0000 0.5000
Pb 0.0000 0.5000 0.0000
Pb 0.1388 0.5000 0.6136

Formation energy from the elements: -0.278 eV/atom
Energy relative to the lowest polymorph listed for this composition: 0.064 eV/atom
Magnetization: 2.07 μB/f.u.
VASP energy: -4.75 eV per atom

=====

Entry 7:
A relaxed Tl7H12Br crystal. Source: Alexandria, functional PBE.

Lattice parameters (Å, degrees): 6.7223 7.8735 8.5776 108.43 105.96 105.05
Space group P1 (No. 1)
Asymmetric unit:
Tl 0.0000 0.0000 0.0000
Tl 0.0872 0.1597 0.7080
Tl 0.2487 0.3200 0.4278
Tl 0.4310 0.4231 0.1402
Tl 0.6126 0.5265 0.8526
Tl 0.7748 0.6861 0.5723
Tl 0.8624 0.8460 0.2805
H 0.1338 0.6588 0.8606
H 0.2188 0.6238 0.9057
H 0.2518 0.7813 0.6198
H 0.3253 0.8888 0.2887
H 0.3434 0.7400 0.6259
H 0.3995 0.8310 0.2955
H 0.4627 0.0147 0.9861
H 0.5192 0.1069 0.6546
H 0.5365 0.9566 0.9931
H 0.6109 0.0657 0.6609
H 0.6423 0.2215 0.3741
H 0.7276 0.1868 0.4192
Br 0.9306 0.4227 0.1396

Magnetization: 0.00 μB/f.u.
VASP energy: -2.89 eV per atom

=====

Entry 8:
A relaxed BeZn2Mo crystal. Source: Alexandria, functional PBE.

Lattice parameters (Å, degrees): 3.6608 3.6608 3.8996 90.00 90.00 90.00
Space group P4/mmm (No. 123)
Asymmetric unit:
Be 0.0000 0.0000 0.0000
Zn 0.0000 0.5000 0.5000
Mo 0.5000 0.5000 0.0000

Formation energy from the elements: -0.021 eV/atom
Magnetization: 0.00 μB/f.u.
VASP energy: -4.30 eV per atom

=====

Entry 9:
A relaxed Rb7H4Cl4 crystal. Source: Alexandria, functional PBE.

Lattice parameters (Å, degrees): 16.1611 16.1611 7.4748 90.00 90.00 90.00
Space group I4/mmm (No. 139)
Asymmetric unit:
Rb 0.0000 0.0000 0.2472
Rb 0.0000 0.2716 0.5000
Rb 0.0000 0.3661 0.0000
Rb 0.1998 0.1998 0.0000
H 0.1222 0.3778 0.2500
Cl 0.0000 0.1744 0.0000
Cl 0.1489 0.1489 0.5000

Magnetization: 1.00 μB/f.u.
VASP energy: -2.71 eV per atom

=====

Entry 10:
A relaxed ThSnRu4 crystal. Source: Alexandria, functional PBE.

Lattice parameters (Å, degrees): 7.5723 7.5723 7.5723 90.00 90.00 90.00
Space group F-43m (No. 216)
Asymmetric unit:
Th 0.0000 0.0000 0.0000
Sn 0.2500 0.2500 0.2500
Ru 0.1237 0.1237 0.6237

Formation energy from the elements: -0.052 eV/atom
Magnetization: 0.00 μB/f.u.
VASP energy: -8.14 eV per atom

=====

Entry 11:
A relaxed Tb2Ho2Tl3 crystal. Source: Alexandria, functional PBE.

Lattice parameters (Å, degrees): 13.3018 3.8065 8.8537 90.00 112.26 90.00
Space group C2/m (No. 12)
Asymmetric unit:
Tb 0.1223 0.0000 0.3158
Ho 0.1139 0.5000 0.9478
Tl 0.0000 0.5000 0.5000
Tl 0.1926 0.0000 0.7194

Formation energy from the elements: -0.186 eV/atom
Energy relative to the lowest polymorph listed for this composition: 0.028 eV/atom
Magnetization: 0.00 μB/f.u.
VASP energy: -3.83 eV per atom

=====

Entry 12:
A relaxed MgTeW crystal. Source: Alexandria, functional PBE.

Lattice parameters (Å, degrees): 6.4372 6.4372 6.4372 90.00 90.00 90.00
Space group F-43m (No. 216)
Asymmetric unit:
Mg 0.0000 0.0000 0.0000
Te 0.0000 0.0000 0.5000
W 0.2500 0.2500 0.7500

Energy relative to the elements, uncorrected: 2.55 eV per formula unit
Energy relative to the lowest polymorph listed for this composition: 0.503 eV/atom
Magnetization: 0.00 μB/f.u.
VASP energy: -5.05 eV per atom

=====

- magnetization of number 10 (ThSnRu4)?
  0.00 μB/f.u.

=====

- The highest VASP energy belongs to which entry?
  NaCa2In

=====

- The highest VASP energy belongs to which entry?
  NaCa2In